Crystalline ReC2 at its relaxed geometry. Source: the Alexandria database, functional PBE.

Properties
Its formation enthalpy at 0 K is 0.6171 eV per atom. The volume is 114.8 Å³ per cell. Its energy above the lowest structure with this stoichiometry is 0.53 eV per formula unit.

a b c (Å): 2.8193 9.4241 4.3223
angles (deg): 90.00 90.00 90.00
With the nearest neighbours (Å) after each atom.
Space group Amm2 (No. 38)
One atom of each set of equivalent atoms:
1 Re 0.0000 0.1609 0.0000 [4 per cell]  6 C 2.19-2.22
2 C 0.5000 0.0752 0.3413 [4 per cell]  2 C 1.42-1.44
3 C 0.5000 0.1646 0.6127 [4 per cell]  1 C 1.44